(1)
DFT (PBE) results for crystalline SmZr2Al at its relaxed geometry.

Structure (CIF):
```
data_SmZr2Al
_chemical_formula_sum 'Sm1 Zr2 Al1'
_cell_length_a 3.127
_cell_length_b 3.127
_cell_length_c 9.523
_cell_angle_alpha 90.00
_cell_angle_beta 90.00
_cell_angle_gamma 90.00
_space_group_name_H-M_alt 'P 1'
_space_group_IT_number 1
loop_
_space_group_symop_operation_xyz
'x,y,z'
loop_
_atom_site_label
_atom_site_fract_x
_atom_site_fract_y
_atom_site_fract_z
Sm1 0.000 0.000 0.000
Zr1 0.500 0.500 0.293
Zr2 0.500 0.500 0.707
Al1 0.000 0.000 0.500
```

Output
- Magnetization: 0.00 μB/cell
- Formation energy from the elements: -0.1098 eV/atom



(2)
DFT (PBE) results for crystalline MnMo3 at its relaxed geometry.

Structure (CIF):
```
data_MnMo3
_chemical_formula_sum 'Mn1 Mo3'
_cell_length_a 4.373
_cell_length_b 4.373
_cell_length_c 3.136
_cell_angle_alpha 90.00
_cell_angle_beta 90.00
_cell_angle_gamma 90.00
_space_group_name_H-M_alt 'P 1'
_space_group_IT_number 1
loop_
_space_group_symop_operation_xyz
'x,y,z'
loop_
_atom_site_label
_atom_site_fract_x
_atom_site_fract_y
_atom_site_fract_z
Mn1 0.000 0.000 0.000
Mo1 0.000 0.500 0.500
Mo2 0.500 0.000 0.500
Mo3 0.500 0.500 0.000
```

Output
- Magnetization: 1.59 μB/cell
- Formation energy from the elements: 0.0955 eV/atom



(3)
DFT (PBE) results for crystalline RbNbS4 at its relaxed geometry.

Structure (CIF):
```
data_RbNbS4
_chemical_formula_sum 'Rb2 Nb2 S8'
_cell_length_a 8.382
_cell_length_b 8.382
_cell_length_c 6.555
_cell_angle_alpha 90.63
_cell_angle_beta 90.63
_cell_angle_gamma 122.57
_space_group_name_H-M_alt 'P 1'
_space_group_IT_number 1
loop_
_space_group_symop_operation_xyz
'x,y,z'
loop_
_atom_site_label
_atom_site_fract_x
_atom_site_fract_y
_atom_site_fract_z
Rb1 0.136 0.864 0.750
Rb2 0.864 0.136 0.250
Nb1 0.446 0.554 0.250
Nb2 0.554 0.446 0.750
S1 0.215 0.620 0.368
S2 0.286 0.305 0.529
S3 0.305 0.286 0.029
S4 0.380 0.785 0.132
S5 0.620 0.215 0.868
S6 0.695 0.714 0.971
S7 0.714 0.695 0.471
S8 0.785 0.380 0.632
```

Output
- Magnetization: 0.00 μB/cell



(4)
DFT (PBE) results for crystalline BaNb2Br at its relaxed geometry.

Structure (CIF):
```
data_BaNb2Br
_chemical_formula_sum 'Ba2 Nb4 Br2'
_cell_length_a 12.156
_cell_length_b 12.156
_cell_length_c 12.156
_cell_angle_alpha 158.91
_cell_angle_beta 158.91
_cell_angle_gamma 30.00
_space_group_name_H-M_alt 'P 1'
_space_group_IT_number 1
loop_
_space_group_symop_operation_xyz
'x,y,z'
loop_
_atom_site_label
_atom_site_fract_x
_atom_site_fract_y
_atom_site_fract_z
Ba1 0.000 0.000 0.000
Ba2 0.750 0.250 0.500
Nb1 0.259 0.125 0.634
Nb2 0.375 0.741 0.866
Nb3 0.491 0.625 0.366
Nb4 0.875 0.509 0.134
Br1 0.250 0.750 0.500
Br2 0.500 0.500 0.000
```

Output
- Magnetization: 0.00 μB/cell



(5)
DFT (PBE) results for crystalline Na2Cr2N3 at its relaxed geometry.

Structure (CIF):
```
data_Na2Cr2N3
_chemical_formula_sum 'Na4 Cr4 N6'
_cell_length_a 5.334
_cell_length_b 5.876
_cell_length_c 5.691
_cell_angle_alpha 90.00
_cell_angle_beta 111.19
_cell_angle_gamma 90.00
_space_group_name_H-M_alt 'P 1'
_space_group_IT_number 1
loop_
_space_group_symop_operation_xyz
'x,y,z'
loop_
_atom_site_label
_atom_site_fract_x
_atom_site_fract_y
_atom_site_fract_z
Na1 0.184 0.132 0.433
Na2 0.184 0.368 0.933
Na3 0.816 0.632 0.067
Na4 0.816 0.868 0.567
Cr1 0.335 0.609 0.568
Cr2 0.335 0.891 0.068
Cr3 0.665 0.109 0.932
Cr4 0.665 0.391 0.432
N1 0.000 0.000 0.000
N2 0.000 0.500 0.500
N3 0.429 0.637 0.276
N4 0.429 0.863 0.776
N5 0.571 0.137 0.224
N6 0.571 0.363 0.724
```

Output
- Magnetization: 0.00 μB/cell



(6)
DFT (PBE) results for crystalline TlCd2PdBr at its relaxed geometry.

Structure (CIF):
```
data_TlCd2PdBr
_chemical_formula_sum 'Tl1 Cd2 Pd1 Br1'
_cell_length_a 5.597
_cell_length_b 5.597
_cell_length_c 5.216
_cell_angle_alpha 90.00
_cell_angle_beta 90.00
_cell_angle_gamma 90.00
_space_group_name_H-M_alt 'P 1'
_space_group_IT_number 1
loop_
_space_group_symop_operation_xyz
'x,y,z'
loop_
_atom_site_label
_atom_site_fract_x
_atom_site_fract_y
_atom_site_fract_z
Tl1 0.000 0.000 0.000
Cd1 0.000 0.500 0.000
Cd2 0.500 0.000 0.000
Pd1 0.000 0.000 0.500
Br1 0.500 0.500 0.500
```

Output
- Magnetization: 0.00 μB/cell



(7)
DFT (PBE) results for crystalline VZnW2 at its relaxed geometry.

Structure (CIF):
```
data_VZnW2
_chemical_formula_sum 'V2 Zn2 W4'
_cell_length_a 5.605
_cell_length_b 5.605
_cell_length_c 5.605
_cell_angle_alpha 103.05
_cell_angle_beta 103.05
_cell_angle_gamma 123.27
_space_group_name_H-M_alt 'P 1'
_space_group_IT_number 1
loop_
_space_group_symop_operation_xyz
'x,y,z'
loop_
_atom_site_label
_atom_site_fract_x
_atom_site_fract_y
_atom_site_fract_z
V1 0.000 0.000 0.000
V2 0.750 0.250 0.500
Zn1 0.250 0.750 0.500
Zn2 0.500 0.500 0.000
W1 0.113 0.625 0.988
W2 0.375 0.363 0.488
W3 0.637 0.125 0.012
W4 0.875 0.887 0.512
```

Output
- Magnetization: 0.00 μB/cell
- Formation energy from the elements: 0.8909 eV/atom



(8)
DFT (PBE) results for crystalline CaAcMgPd at its relaxed geometry.

Structure (CIF):
```
data_CaAcMgPd
_chemical_formula_sum 'Ca1 Ac1 Mg1 Pd1'
_cell_length_a 5.429
_cell_length_b 5.429
_cell_length_c 5.429
_cell_angle_alpha 60.00
_cell_angle_beta 60.00
_cell_angle_gamma 60.00
_space_group_name_H-M_alt 'P 1'
_space_group_IT_number 1
loop_
_space_group_symop_operation_xyz
'x,y,z'
loop_
_atom_site_label
_atom_site_fract_x
_atom_site_fract_y
_atom_site_fract_z
Ca1 0.000 0.000 0.000
Ac1 0.500 0.500 0.500
Mg1 0.750 0.750 0.750
Pd1 0.250 0.250 0.250
```

Output
- Magnetization: 0.00 μB/cell
- Formation energy from the elements: -0.3132 eV/atom



The records above give, respectively, E values of -25.997; -41.281; -32.901; -21.174; -49.799; -9.257; -32.735; -14.150 eV per formula unit.